Below is a geometry-optimized Nb4SiTe4 structure, with properties calculated at the PBE level.

Properties
As for the volume: 997.0 Å³/cell.

Lattice parameters (Å, degrees): 10.892 18.802 4.868 90.00 90.00 90.00
Sites, in units of the cell vectors:
Te1 0.849 0.563 0.500
Te2 0.651 0.063 0.500
Si1 0.000 0.000 0.250
Nb1 0.204 0.963 0.000
Nb2 0.901 0.109 0.500
Te3 0.676 0.902 0.000
Nb3 0.296 0.463 0.000
Te4 0.176 0.598 0.000
Te5 0.392 0.702 0.500
Te6 0.349 0.937 0.500
Si2 0.000 0.000 0.750
Nb4 0.811 0.942 0.500
Te7 0.169 0.813 0.000
Te8 0.151 0.437 0.500
Te9 0.669 0.687 0.000
Nb5 0.564 0.382 0.000
Te10 0.324 0.098 0.000
Te11 0.831 0.187 0.000
Nb6 0.936 0.882 0.000
Te12 0.608 0.298 0.500
Nb7 0.689 0.442 0.500
Nb8 0.311 0.558 0.500
Nb9 0.796 0.037 0.000
Nb10 0.401 0.391 0.500
Nb11 0.436 0.618 0.000
Te13 0.892 0.798 0.500
Si3 0.500 0.500 0.250
Si4 0.500 0.500 0.750
Nb12 0.064 0.118 0.000
Te14 0.824 0.402 0.000
Nb13 0.189 0.058 0.500
Nb14 0.599 0.609 0.500
Nb15 0.099 0.891 0.500
Nb16 0.704 0.537 0.000
Te15 0.331 0.313 0.000
Te16 0.108 0.202 0.500


Below is a geometry-optimized Pd2S3 structure, with properties calculated at the PBE level.

Properties
As for the volume: 188.7 Å³/cell.

Lattice parameters (Å, degrees): 6.699 6.699 6.699 55.18 55.18 55.18
Sites, in units of the cell vectors:
S1 0.266 0.597 0.910
S2 0.090 0.734 0.403
Pd1 0.500 0.500 0.500
S3 0.597 0.910 0.266
S4 0.910 0.266 0.597
Pd2 0.000 0.000 0.000
S5 0.734 0.403 0.090
Pd3 0.674 0.674 0.674
Pd4 0.326 0.326 0.326
S6 0.403 0.090 0.734


Calculated total energy, respectively: -256.2 -47.2 eV/cell.